Entry 1:
# SmTmZnCd

A relaxed structure of SmTmZnCd (PBE, the Alexandria database).

Cell lengths 3.5924, 3.5924, 7.6391 Å; angles 90.00, 90.00, 90.00 degrees
Fractional positions:
1 Sm 0.0000 0.0000 0.0000
2 Tm 0.0000 0.0000 0.4601
3 Zn 0.5000 0.5000 0.2469
4 Cd 0.5000 0.5000 0.7156

Results
Its space group is P4mm, No. 99. The value obtained for the energy above the most stable polymorph in this dataset is 0.000 eV/atom. Its formation energy is -0.326 eV per atom.

Entry 2:
# SmTmZnCd

A relaxed structure of SmTmZnCd (PBE, the Alexandria database).

Cell lengths 5.2042, 5.2042, 5.2042 Å; angles 60.00, 60.00, 60.00 degrees
Fractional positions:
1 Sm 0.0000 0.0000 0.0000
2 Tm 0.5000 0.5000 0.5000
3 Zn 0.2500 0.2500 0.2500
4 Cd 0.7500 0.7500 0.7500

Results
Its space group is F-43m, No. 216. The value obtained for the energy above the most stable polymorph in this dataset is 0.025 eV/atom. Its formation energy is -0.301 eV per atom.

Entry 3:
# SmYCd14

A relaxed structure of SmYCd14 (PBE, the Alexandria database).

Cell lengths 6.6322, 6.6322, 8.4925 Å; angles 90.00, 90.00, 90.00 degrees
Fractional positions:
1 Sm 0.0000 0.0000 0.0000
2 Y 0.5000 0.5000 0.0000
3 Cd 0.0000 0.0000 0.5000
4 Cd 0.0000 0.5000 0.0000
5 Cd 0.0000 0.5000 0.5000
6 Cd 0.2515 0.2515 0.2596
7 Cd 0.2515 0.2515 0.7404
8 Cd 0.2515 0.7485 0.2596
9 Cd 0.2515 0.7485 0.7404
10 Cd 0.5000 0.0000 0.0000
11 Cd 0.5000 0.0000 0.5000
12 Cd 0.5000 0.5000 0.5000
13 Cd 0.7485 0.2515 0.2596
14 Cd 0.7485 0.2515 0.7404
15 Cd 0.7485 0.7485 0.2596
16 Cd 0.7485 0.7485 0.7404

Results
Its space group is P4/mmm, No. 123. Its formation energy is -0.147 eV per atom.

Entry 4:
# SmY2Cd5

A relaxed structure of SmY2Cd5 (PBE, the Alexandria database).

Cell lengths 8.3543, 8.3543, 8.3543 Å; angles 143.91, 143.91, 51.97 degrees
Fractional positions:
1 Sm 0.0000 0.0000 0.0000
2 Y 0.2625 0.2625 0.0000
3 Y 0.7375 0.7375 0.0000
4 Cd 0.1214 0.6214 0.5000
5 Cd 0.3786 0.8786 0.5000
6 Cd 0.5000 0.5000 0.0000
7 Cd 0.6214 0.1214 0.5000
8 Cd 0.8786 0.3786 0.5000

Results
Its space group is I4/mmm, No. 139. Its formation energy is -0.329 eV per atom.

Entry 5:
# SmYCd

A relaxed structure of SmYCd (PBE, the Alexandria database).

Cell lengths 3.5541, 14.3528, 14.3528 Å; angles 14.05, 90.00, 90.00 degrees
Fractional positions:
1 Sm 0.0000 0.0000 0.0000
2 Sm 0.0000 0.1518 0.1518
3 Y 0.0000 0.8492 0.8492
4 Y 0.5000 0.2604 0.2604
5 Cd 0.5000 0.4227 0.4227
6 Cd 0.5000 0.5763 0.5763

Results
Its space group is Amm2, No. 38. The value obtained for the energy above the most stable polymorph in this dataset is 0.086 eV/atom. Its formation energy is -0.119 eV per atom.

Entry 6:
# Sm2YCd8

A relaxed structure of Sm2YCd8 (PBE, the Alexandria database).

Cell lengths 8.3691, 8.3691, 7.0773 Å; angles 106.29, 106.29, 34.75 degrees
Fractional positions:
1 Sm 0.2161 0.2161 0.1482
2 Sm 0.7839 0.7839 0.8518
3 Y 0.5000 0.5000 0.5000
4 Cd 0.0160 0.0160 0.2168
5 Cd 0.1441 0.1441 0.6339
6 Cd 0.3267 0.3267 0.6057
7 Cd 0.4103 0.4103 0.0373
8 Cd 0.5897 0.5897 0.9627
9 Cd 0.6733 0.6733 0.3943
10 Cd 0.8559 0.8559 0.3661
11 Cd 0.9840 0.9840 0.7832

Results
Its space group is C2/m, No. 12. Its formation energy is -0.251 eV per atom.

Entry 7:
# SmY7Cd4

A relaxed structure of SmY7Cd4 (PBE, the Alexandria database).

Cell lengths 7.9116, 7.9116, 9.8498 Å; angles 119.80, 119.80, 42.34 degrees
Fractional positions:
1 Sm 0.0000 0.0000 0.0000
2 Y 0.0708 0.0708 0.4122
3 Y 0.2074 0.2074 0.8809
4 Y 0.2644 0.2644 0.3106
5 Y 0.5000 0.5000 0.0000
6 Y 0.7356 0.7356 0.6894
7 Y 0.7926 0.7926 0.1191
8 Y 0.9292 0.9292 0.5878
9 Cd 0.3185 0.3185 0.6597
10 Cd 0.4568 0.4568 0.2826
11 Cd 0.5432 0.5432 0.7174
12 Cd 0.6815 0.6815 0.3403

Results
Its space group is C2/m, No. 12. Its formation energy is -0.017 eV per atom.

Entry 8:
# Sm8Y6Cd

A relaxed structure of Sm8Y6Cd (PBE, the Alexandria database).

Cell lengths 9.4626, 9.4626, 6.3953 Å; angles 90.00, 90.00, 120.00 degrees
Fractional positions:
1 Sm 0.0427 0.2683 0.3138
2 Sm 0.2255 0.9573 0.3138
3 Sm 0.2683 0.2255 0.6862
4 Sm 0.3333 0.6667 0.3186
5 Sm 0.6667 0.3333 0.6814
6 Sm 0.7317 0.7745 0.3138
7 Sm 0.7745 0.0427 0.6862
8 Sm 0.9573 0.7317 0.6862
9 Y 0.0953 0.4526 0.8205
10 Y 0.3573 0.9047 0.8205
11 Y 0.4526 0.3573 0.1795
12 Y 0.5474 0.6427 0.8205
13 Y 0.6427 0.0953 0.1795
14 Y 0.9047 0.5474 0.1795
15 Cd 0.0000 0.0000 0.0000

Results
Its space group is P-3, No. 147. Its formation energy is 0.093 eV per atom.

Entry 9:
# Sm2YCd6

A relaxed structure of Sm2YCd6 (PBE, the Alexandria database).

Cell lengths 8.6923, 8.6923, 3.4581 Å; angles 90.00, 90.00, 120.00 degrees
Fractional positions:
1 Sm 0.3333 0.6667 0.0000
2 Sm 0.6667 0.3333 0.0000
3 Y 0.0000 0.0000 0.0000
4 Cd 0.0000 0.3316 0.5000
5 Cd 0.0000 0.6684 0.5000
6 Cd 0.3316 0.0000 0.5000
7 Cd 0.3316 0.3316 0.5000
8 Cd 0.6684 0.0000 0.5000
9 Cd 0.6684 0.6684 0.5000

Results
Its space group is P6/mmm, No. 191. Its formation energy is -0.336 eV per atom.

Entry 10:
# Sm7Y2Cd2

A relaxed structure of Sm7Y2Cd2 (PBE, the Alexandria database).

Cell lengths 7.7160, 7.7160, 6.6181 Å; angles 105.50, 105.50, 100.53 degrees
Fractional positions:
1 Sm 0.0000 0.0000 0.0000
2 Sm 0.0608 0.5761 0.8044
3 Sm 0.3493 0.3493 0.5522
4 Sm 0.4239 0.9392 0.1956
5 Sm 0.5761 0.0608 0.8044
6 Sm 0.6507 0.6507 0.4478
7 Sm 0.9392 0.4239 0.1956
8 Y 0.1383 0.8617 0.5000
9 Y 0.8617 0.1383 0.5000
10 Cd 0.3295 0.3295 0.0243
11 Cd 0.6705 0.6705 0.9757

Results
Its space group is C2/m, No. 12. Its formation energy is 0.096 eV per atom.

Entry 11:
# Sm2YCd4

A relaxed structure of Sm2YCd4 (PBE, the Alexandria database).

Cell lengths 8.8532, 8.8532, 8.8532 Å; angles 142.90, 142.90, 53.47 degrees
Fractional positions:
1 Sm 0.1045 0.1045 0.0000
2 Sm 0.8955 0.8955 0.0000
3 Y 0.5000 0.5000 0.0000
4 Cd 0.0000 0.5000 0.5000
5 Cd 0.3071 0.3071 0.0000
6 Cd 0.5000 0.0000 0.5000
7 Cd 0.6929 0.6929 0.0000

Results
Its space group is I4/mmm, No. 139. The value obtained for the energy above the most stable polymorph in this dataset is 0.419 eV/atom. Its formation energy is 0.250 eV per atom.

Entry 12:
# Sm8YCd2

A relaxed structure of Sm8YCd2 (PBE, the Alexandria database).

Cell lengths 8.9515, 8.9515, 5.2047 Å; angles 98.76, 98.76, 74.78 degrees
Fractional positions:
1 Sm 0.0829 0.0829 0.2914
2 Sm 0.1357 0.6642 0.2104
3 Sm 0.2608 0.2608 0.8729
4 Sm 0.3358 0.8643 0.7896
5 Sm 0.6642 0.1357 0.2104
6 Sm 0.7392 0.7392 0.1271
7 Sm 0.8643 0.3358 0.7896
8 Sm 0.9171 0.9171 0.7086
9 Y 0.5000 0.5000 0.0000
10 Cd 0.3801 0.3801 0.4486
11 Cd 0.6199 0.6199 0.5514

Results
Its space group is C2/m, No. 12. Its formation energy is 0.286 eV per atom.

Entry 13:
# SmYCd17

A relaxed structure of SmYCd17 (PBE, the Alexandria database).

Cell lengths 7.6629, 7.6629, 7.6629 Å; angles 82.07, 82.07, 82.07 degrees
Fractional positions:
1 Sm 0.0000 0.0000 0.0000
2 Y 0.3438 0.3438 0.3438
3 Cd 0.0453 0.0453 0.4596
4 Cd 0.0453 0.4596 0.0453
5 Cd 0.1438 0.6910 0.6910
6 Cd 0.3242 0.3242 0.7940
7 Cd 0.3242 0.7940 0.3242
8 Cd 0.3664 0.6670 0.9741
9 Cd 0.3664 0.9741 0.6670
10 Cd 0.4596 0.0453 0.0453
11 Cd 0.5657 0.5657 0.5657
12 Cd 0.6670 0.3664 0.9741
13 Cd 0.6670 0.9741 0.3664
14 Cd 0.6910 0.1438 0.6910
15 Cd 0.6910 0.6910 0.1438
16 Cd 0.7612 0.7612 0.7612
17 Cd 0.7940 0.3242 0.3242
18 Cd 0.9741 0.3664 0.6670
19 Cd 0.9741 0.6670 0.3664

Results
Its space group is R3m, No. 160. Its formation energy is -0.125 eV per atom.

Entry 14:
# Sm5YCd4

A relaxed structure of Sm5YCd4 (PBE, the Alexandria database).

Cell lengths 3.7665, 3.7665, 20.4017 Å; angles 90.00, 90.00, 90.00 degrees
Fractional positions:
1 Sm 0.0000 0.0000 0.0000
2 Sm 0.0000 0.0000 0.1897
3 Sm 0.0000 0.0000 0.3806
4 Sm 0.0000 0.0000 0.6194
5 Sm 0.0000 0.0000 0.8103
6 Y 0.5000 0.5000 0.5000
7 Cd 0.5000 0.5000 0.0953
8 Cd 0.5000 0.5000 0.2860
9 Cd 0.5000 0.5000 0.7140
10 Cd 0.5000 0.5000 0.9047

Results
Its space group is P4/mmm, No. 123. Its formation energy is -0.243 eV per atom.

Entry 15:
# Sm2Y8Cd

A relaxed structure of Sm2Y8Cd (PBE, the Alexandria database).

Cell lengths 9.8543, 9.8543, 5.7597 Å; angles 91.84, 91.84, 40.68 degrees
Fractional positions:
1 Sm 0.2201 0.2201 0.2581
2 Sm 0.7799 0.7799 0.7419
3 Y 0.0504 0.0504 0.2339
4 Y 0.1155 0.6371 0.2552
5 Y 0.3275 0.3275 0.7659
6 Y 0.3629 0.8845 0.7448
7 Y 0.6371 0.1155 0.2552
8 Y 0.6725 0.6725 0.2341
9 Y 0.8845 0.3629 0.7448
10 Y 0.9496 0.9496 0.7661
11 Cd 0.5000 0.5000 0.0000

Results
Its space group is C2/m, No. 12. The value obtained for the energy above the most stable polymorph in this dataset is 0.118 eV/atom. Its formation energy is 0.098 eV per atom.

Entry 16:
# SmY3Cd2

A relaxed structure of SmY3Cd2 (PBE, the Alexandria database).

Cell lengths 3.6957, 3.6957, 12.6430 Å; angles 90.00, 90.00, 90.00 degrees
Fractional positions:
1 Sm 0.0000 0.0000 0.0000
2 Y 0.5000 0.5000 0.1972
3 Y 0.5000 0.5000 0.5000
4 Y 0.5000 0.5000 0.8028
5 Cd 0.0000 0.0000 0.3491
6 Cd 0.0000 0.0000 0.6509

Results
Its space group is P4/mmm, No. 123. Its formation energy is -0.221 eV per atom.

Entry 17:
# SmY5Cd

A relaxed structure of SmY5Cd (PBE, the Alexandria database).

Cell lengths 6.7689, 6.7689, 12.6613 Å; angles 110.24, 110.24, 56.86 degrees
Fractional positions:
1 Sm 0.2302 0.7698 0.7500
2 Sm 0.7698 0.2302 0.2500
3 Y 0.2195 0.2612 0.6925
4 Y 0.2487 0.7513 0.2500
5 Y 0.2612 0.2195 0.1925
6 Y 0.3206 0.3523 0.9743
7 Y 0.3523 0.3206 0.4743
8 Y 0.6477 0.6794 0.5257
9 Y 0.6794 0.6477 0.0257
10 Y 0.7388 0.7805 0.8075
11 Y 0.7513 0.2487 0.7500
12 Y 0.7805 0.7388 0.3075
13 Cd 0.0000 0.0000 0.0000
14 Cd 0.0000 0.0000 0.5000

Results
Its space group is C2/c, No. 15. Its formation energy is 0.116 eV per atom.

Entry 18:
# Sm5YCd6

A relaxed structure of Sm5YCd6 (PBE, the Alexandria database).

Cell lengths 8.4796, 8.4796, 7.6606 Å; angles 90.00, 90.00, 143.15 degrees
Fractional positions:
1 Sm 0.0000 0.0000 0.0000
2 Sm 0.3321 0.6679 0.0000
3 Sm 0.3337 0.6663 0.5000
4 Sm 0.6663 0.3337 0.5000
5 Sm 0.6679 0.3321 0.0000
6 Y 0.0000 0.0000 0.5000
7 Cd 0.1649 0.8351 0.2524
8 Cd 0.1649 0.8351 0.7476
9 Cd 0.5000 0.5000 0.2532
10 Cd 0.5000 0.5000 0.7468
11 Cd 0.8351 0.1649 0.2524
12 Cd 0.8351 0.1649 0.7476

Results
Its space group is Cmmm, No. 65. Its formation energy is -0.322 eV per atom.

Entry 19:
# Sm3YCd4

A relaxed structure of Sm3YCd4 (PBE, the Alexandria database).

Cell lengths 5.3486, 5.3486, 7.6683 Å; angles 90.00, 90.00, 90.00 degrees
Fractional positions:
1 Sm 0.0000 0.0000 0.0000
2 Sm 0.0000 0.0000 0.5000
3 Sm 0.5000 0.5000 0.0000
4 Y 0.5000 0.5000 0.5000
5 Cd 0.0000 0.5000 0.2542
6 Cd 0.0000 0.5000 0.7458
7 Cd 0.5000 0.0000 0.2542
8 Cd 0.5000 0.0000 0.7458

Results
Its space group is P4/mmm, No. 123. Its formation energy is -0.325 eV per atom.

Entry 20:
# Sm3Y3Cd2

A relaxed structure of Sm3Y3Cd2 (PBE, the Alexandria database).

Cell lengths 6.4760, 6.4760, 15.6490 Å; angles 90.00, 90.00, 131.53 degrees
Fractional positions:
1 Sm 0.0378 0.9622 0.6066
2 Sm 0.0378 0.9622 0.8934
3 Sm 0.2633 0.7367 0.7500
4 Sm 0.7367 0.2633 0.2500
5 Sm 0.9622 0.0378 0.1066
6 Sm 0.9622 0.0378 0.3934
7 Y 0.3558 0.6442 0.5328
8 Y 0.3558 0.6442 0.9672
9 Y 0.4572 0.5428 0.2500
10 Y 0.5428 0.4572 0.7500
11 Y 0.6442 0.3558 0.0328
12 Y 0.6442 0.3558 0.4672
13 Cd 0.2297 0.7703 0.1375
14 Cd 0.2297 0.7703 0.3625
15 Cd 0.7703 0.2297 0.6375
16 Cd 0.7703 0.2297 0.8625

Results
Its space group is Cmcm, No. 63. Its formation energy is -0.078 eV per atom.

What volume values result from the calculations? In sequence: 98.59, 99.67, 373.55, 201.23, 177.76, 270.05, 351.33, 495.92, 226.28, 351.93, 250.83, 394.96, 438.15, 289.42, 364.38, 172.68, 446.57, 330.35, 219.37, 491.28 Å³/cell.
What spin magnetization values result from the calculations? In sequence: 0.000, 0.000, 0.000, 0.000, 0.078, 0.000, 0.000, 0.000, 0.021, 0.000, 0.000, 0.000, 0.000, 0.101, 0.000, 0.000, 0.000, 0.182, 0.168, 0.000 μB per atom.